A | # CoPbSO (PBE with a Hubbard U, optimized geometry)
data_CoPbSO
_symmetry_space_group_name_H-M 'P 1'
_symmetry_Int_Tables_number 1
_cell_length_a 7.174
_cell_length_b 7.174
_cell_length_c 5.871
_cell_angle_alpha 90.00
_cell_angle_beta 90.00
_cell_angle_gamma 148.88
loop_
_symmetry_equiv_pos_as_xyz
'x,y,z'
loop_
_atom_site_label
_atom_site_fract_x
_atom_site_fract_y
_atom_site_fract_z
_atom_site_occupancy
Co1 0.054 0.946 0.500 1
Co2 0.946 0.054 0.000 1
Pb1 0.331 0.669 0.404 1
Pb2 0.669 0.331 0.904 1
S1 0.359 0.641 0.890 1
S2 0.641 0.359 0.390 1
O1 0.068 0.932 0.839 1
O2 0.932 0.068 0.339 1
# Symmetry = Cmc2_1 (36)

***

B | # CoPbSO (PBE with a Hubbard U, optimized geometry)
data_CoPbSO
_symmetry_space_group_name_H-M 'P 1'
_symmetry_Int_Tables_number 1
_cell_length_a 8.207
_cell_length_b 8.207
_cell_length_c 5.593
_cell_angle_alpha 90.00
_cell_angle_beta 90.00
_cell_angle_gamma 155.99
loop_
_symmetry_equiv_pos_as_xyz
'x,y,z'
loop_
_atom_site_label
_atom_site_fract_x
_atom_site_fract_y
_atom_site_fract_z
_atom_site_occupancy
Co1 0.182 0.818 0.500 1
Co2 0.818 0.182 0.000 1
Pb1 0.424 0.576 0.555 1
Pb2 0.576 0.424 0.055 1
S1 0.199 0.801 0.925 1
S2 0.801 0.199 0.425 1
O1 0.382 0.618 0.934 1
O2 0.618 0.382 0.434 1
# Symmetry = Cmc2_1 (36)

***

Which one sits at the bottom of the stability order? B does.